! NaBe3Fe, optimized geometry, DFT PBE; values from VASP
&SYSTEM
  ibrav = 0, nat = 5, ntyp = 3
/
ATOMIC_SPECIES
Na 22.99 Na.upf
Be 9.01 Be.upf
Fe 55.84 Fe.upf
ATOMIC_POSITIONS angstrom
Na 0.000 0.000 0.000
Be 0.000 2.064 2.064
Be 2.064 0.000 2.064
Be 2.064 2.064 0.000
Fe 2.064 2.064 2.064
CELL_PARAMETERS angstrom
4.129 0.000 0.000
0.000 4.129 0.000
0.000 0.000 4.129
! space group	Pm-3m (221)



! NaBe3Fe, optimized geometry, DFT PBE; values from VASP
&SYSTEM
  ibrav = 0, nat = 5, ntyp = 3
/
ATOMIC_SPECIES
Na 22.99 Na.upf
Be 9.01 Be.upf
Fe 55.84 Fe.upf
ATOMIC_POSITIONS angstrom
Na 0.000 0.000 0.000
Be 0.000 0.000 2.059
Be 0.000 2.059 0.000
Be 2.059 0.000 0.000
Fe 2.059 2.059 2.059
CELL_PARAMETERS angstrom
4.118 0.000 0.000
0.000 4.118 0.000
0.000 0.000 4.118
! space group	Pm-3m (221)



! NaBe2Fe, optimized geometry, DFT PBE; values from VASP
&SYSTEM
  ibrav = 0, nat = 4, ntyp = 3
/
ATOMIC_SPECIES
Na 22.99 Na.upf
Be 9.01 Be.upf
Fe 55.84 Fe.upf
ATOMIC_POSITIONS angstrom
Na 0.000 0.000 0.000
Be 1.461 1.461 1.461
Be 4.382 4.382 4.382
Fe 2.921 2.921 2.921
CELL_PARAMETERS angstrom
0.000 2.921 2.921
2.921 0.000 2.921
2.921 2.921 0.000
! space group	Fm-3m (225)



! NaBeFe2, optimized geometry, DFT PBE; values from VASP
&SYSTEM
  ibrav = 0, nat = 8, ntyp = 3
/
ATOMIC_SPECIES
Na 22.99 Na.upf
Be 9.01 Be.upf
Fe 55.84 Fe.upf
ATOMIC_POSITIONS angstrom
Na 0.000 0.000 0.000
Na 0.000 1.833 4.345
Be 1.833 0.000 4.345
Be 0.000 0.000 8.690
Fe 0.916 -0.714 6.518
Fe 1.119 0.916 2.173
Fe 0.916 2.547 -2.173
Fe 0.714 0.916 10.863
CELL_PARAMETERS angstrom
-1.833 1.833 8.690
1.833 -1.833 8.690
1.833 1.833 -8.690
! space group	I-42d (122)



! NaBeFe3, optimized geometry, DFT PBE; values from VASP
&SYSTEM
  ibrav = 0, nat = 5, ntyp = 3
/
ATOMIC_SPECIES
Na 22.99 Na.upf
Be 9.01 Be.upf
Fe 55.84 Fe.upf
ATOMIC_POSITIONS angstrom
Na 0.000 0.000 0.000
Be 2.171 2.171 2.171
Fe 0.000 0.000 2.171
Fe 0.000 2.171 0.000
Fe 2.171 0.000 0.000
CELL_PARAMETERS angstrom
4.342 0.000 0.000
0.000 4.342 0.000
0.000 0.000 4.342
! space group	Pm-3m (221)



! NaBe2Fe, optimized geometry, DFT PBE; values from VASP
&SYSTEM
  ibrav = 0, nat = 8, ntyp = 3
/
ATOMIC_SPECIES
Na 22.99 Na.upf
Be 9.01 Be.upf
Fe 55.84 Fe.upf
ATOMIC_POSITIONS angstrom
Na 2.123 1.062 1.927
Na 0.000 1.062 5.781
Be 0.000 0.000 0.000
Be 1.062 1.062 -3.854
Be 1.062 -1.062 3.854
Be 0.000 2.123 0.000
Fe 2.123 -1.062 5.781
Fe 0.000 3.185 1.927
CELL_PARAMETERS angstrom
-2.123 2.123 7.708
2.123 -2.123 7.708
2.123 2.123 -7.708
! space group	I4_1/amd (141)



Number 1: energy of formation 685 meV/atom. Number 2: energy of formation 1917 meV/atom. Number 3: energy of formation 732 meV/atom. Number 4: energy of formation 946 meV/atom. Number 5: energy of formation 2112 meV/atom. Number 6: energy of formation 861 meV/atom.